1.
Material: Ba2ZnPb
Method: DFT, PBE
State: optimized geometry

E_tot = -2.5625 eV/atom
Fermi-level density of states = 2.1 states/eV per cell

Cell: 6.032 4.200 6.033 Å, 89.99 90.00 90.00°
Fractional positions:
Pb 0.000 0.625 0.377
Zn 0.500 0.625 0.873
Ba 0.000 0.124 0.876
Ba 0.500 0.126 0.374

2.
Material: Ba2ZnPb
Method: DFT, PBE
State: optimized geometry

E_tot = -2.3357 eV/atom
Fermi-level density of states = 5.9 states/eV per cell

Cell: 10.237 10.237 10.237 Å, 25.06 25.06 25.06°
Fractional positions:
Ba 0.003 0.003 0.003
Ba 0.497 0.497 0.497
Pb 0.250 0.250 0.250
Zn 0.750 0.750 0.750

3.
Material: BaZnPb3
Method: DFT, PBE
State: optimized geometry

E_tot = -1.9163 eV/atom
Fermi-level density of states = 5.8 states/eV per cell
Distance to the lowest polymorph of the same formula = 1190 meV per atom

Cell: 6.431 6.431 6.431 Å, 90.00 90.00 90.00°
Fractional positions:
Pb 0.000 0.500 0.000
Pb 0.000 0.000 0.500
Pb 0.500 0.000 0.000
Zn 0.500 0.500 0.500
Ba 0.000 0.000 0.000